# AcMgCd2In

An optimized crystal structure of AcMgCd2In (PBE, Alexandria).

a = 4.696 Å, b = 4.696 Å, c = 7.061 Å
α = 109.42°, β = 109.42°, γ = 90.00°
Atoms (fractional coordinates):
Ac1 0.000 0.000 0.000
Mg1 0.250 0.750 0.500
Cd1 0.612 0.612 0.223
Cd2 0.388 0.388 0.777
In1 0.750 0.250 0.500

E   -2.356 eV per atom
Spin magnetization   0.00 μB/f.u.
Fermi-level density of states   3.21 states/eV per cell
Space group   I-4m2, No. 119